Here is a relaxed structure of Cu3W from Alexandria via LeMat-Bulk. Energies are from GGA-PBEsol.

Results
Its space group is Imm2. The crystal system is orthorhombic. For the density, the calculation gives 12.26 Mg/m³. The calculation puts the energy of formation at 384 meV/atom.

Unit cell a=5.112 b=5.112 c=5.112 alpha=151.39 beta=61.41 gamma=126.91
Sites, in units of the cell vectors:
Cu  0.000  0.000  0.000
Cu  0.109  0.368  0.742
Cu  0.626  0.368  0.258
W  0.495  0.995  0.500